{"formula": "V2NO", "functional": "PBE+U", "state": "relaxed", "energy_ev_per_atom": -7.8985, "e_above_lowest_polymorph_ev_per_atom": 0.067, "dos_ef_per_ev_fu": 3.65, "total_magnetization_mub_per_cell": 5.00, "lattice": [[3.1476, 0.0000, 0.0000], [1.5738, 2.7259, 0.0000], [1.5738, 0.9086, 4.8938]], "species": ["V", "V", "N", "O"], "frac_coords": [[0.2449, 0.2449, 0.2653], [0.7551, 0.7551, 0.7347], [0.5000, 0.5000, 0.5000], [0.0000, 0.0000, 0.0000]]}